1.
Below is an optimized crystal structure of TiTc3Se, with properties calculated at the GGA-PBE level.

Cell: 4.5686 4.5686 4.5686 Å, 90.00 90.00 90.00°
Closest atoms and distances in Å follow each position.
Space group Pm-3m (No. 221)
Asymmetric unit:
Ti 0.0000 0.0000 0.0000 x1  6 Tc 2.28
Tc 0.0000 0.0000 0.5000 x3  2 Ti 2.28
Se 0.5000 0.5000 0.5000 x1  12 Tc 3.23

Summary:
polymorph energy (0 for the lowest one)	65.8	kJ/mol of atoms

---

2.
Below is an optimized crystal structure of Ti2TcSe2, with properties calculated at the GGA-PBE level.

Cell: 7.0235 7.0235 3.3475 Å, 90.00 90.00 90.00°
Closest atoms and distances in Å follow each position.
Space group P4/mbm (No. 127)
Asymmetric unit:
Ti 0.1486 0.3514 0.0000 x4  6 Se 2.57-2.71, 2 Tc 2.68
Tc 0.0000 0.0000 0.0000 x2  4 Ti 2.68
Se 0.1547 0.6547 0.5000 x4  6 Ti 2.57-2.71

Summary:
polymorph energy (0 for the lowest one)	0.0	kJ/mol of atoms

---

3.
Below is an optimized crystal structure of TiTcSe2, with properties calculated at the GGA-PBE level.

Cell: 6.3351 6.3351 6.3351 Å, 90.00 90.00 90.00°
Closest atoms and distances in Å follow each position.
Space group Fm-3m (No. 225)
Asymmetric unit:
Ti 0.0000 0.0000 0.0000 x4  8 Se 2.74
Tc 0.0000 0.0000 0.5000 x4  8 Se 2.74
Se 0.2500 0.2500 0.2500 x8  4 Tc 2.74, 4 Ti 2.74

Summary:
polymorph energy (0 for the lowest one)	0.0	kJ/mol of atoms

---

4.
Below is an optimized crystal structure of TiTcSe2, with properties calculated at the GGA-PBE level.

Cell: 4.7674 4.7674 14.3581 Å, 90.00 90.00 90.00°
Closest atoms and distances in Å follow each position.
Space group I-42d (No. 122)
Asymmetric unit:
Ti 0.0000 0.0000 0.0000 x4  4 Se 2.49
Tc 0.0000 0.0000 0.5000 x4  4 Se 2.44
Se 0.2398 0.2500 0.6250 x8  2 Tc 2.44, 2 Ti 2.49

Summary:
polymorph energy (0 for the lowest one)	8.8	kJ/mol of atoms

---

5.
Below is an optimized crystal structure of Ti3TcSe, with properties calculated at the GGA-PBE level.

Cell: 4.5851 4.5851 4.5851 Å, 90.00 90.00 90.00°
Closest atoms and distances in Å follow each position.
Space group Pm-3m (No. 221)
Asymmetric unit:
Ti 0.0000 0.0000 0.5000 x3  2 Se 2.29
Tc 0.5000 0.5000 0.5000 x1  12 Ti 3.24
Se 0.0000 0.0000 0.0000 x1  6 Ti 2.29

Summary:
polymorph energy (0 for the lowest one)	0.0	kJ/mol of atoms

---

6.
Below is an optimized crystal structure of TiTc3Se, with properties calculated at the GGA-PBE level.

Cell: 4.4956 4.4956 4.4956 Å, 90.00 90.00 90.00°
Closest atoms and distances in Å follow each position.
Space group Pm-3m (No. 221)
Asymmetric unit:
Ti 0.0000 0.0000 0.0000 x1  12 Tc 3.18
Tc 0.0000 0.5000 0.5000 x3  2 Se 2.25
Se 0.5000 0.5000 0.5000 x1  6 Tc 2.25

Summary:
polymorph energy (0 for the lowest one)	0.0	kJ/mol of atoms

---

7.
Below is an optimized crystal structure of Ti2TcSe, with properties calculated at the GGA-PBE level.

Cell: 6.8946 6.8946 5.6551 Å, 90.00 90.00 90.00°
Closest atoms and distances in Å follow each position.
Space group I-42d (No. 122)
Asymmetric unit:
Ti 0.2484 0.7500 0.1250 x8  2 Tc 2.53, 2 Se 2.55, 2 Ti 2.83
Tc 0.0000 0.0000 0.0000 x4  4 Ti 2.53, 2 Se 2.83
Se 0.0000 0.0000 0.5000 x4  4 Ti 2.55, 2 Tc 2.83

---

8.
Below is an optimized crystal structure of TiTcSe3, with properties calculated at the GGA-PBE level.

Cell: 4.9337 4.9337 4.9337 Å, 90.00 90.00 90.00°
Closest atoms and distances in Å follow each position.
Space group Pm-3m (No. 221)
Asymmetric unit:
Ti 0.0000 0.0000 0.0000 x1  6 Se 2.47
Tc 0.5000 0.5000 0.5000 x1  12 Se 3.49
Se 0.0000 0.0000 0.5000 x3  2 Ti 2.47

Summary:
polymorph energy (0 for the lowest one)	0.0	kJ/mol of atoms

---

9.
Below is an optimized crystal structure of TiTcSe2, with properties calculated at the GGA-PBE level.

Cell: 3.1517 3.1517 25.1437 Å, 90.00 90.00 120.00°
Closest atoms and distances in Å follow each position.
Space group R-3m (No. 166, hexagonal axes)
Asymmetric unit:
Ti 0.0000 0.0000 0.0000 x3  6 Se 2.54
Tc 0.0000 0.0000 0.5000 x3  2 Se 2.42
Se 0.0000 0.0000 0.4038 x6  1 Tc 2.42, 3 Ti 2.54

Summary:
polymorph energy (0 for the lowest one)	9.6	kJ/mol of atoms

---

10.
Below is an optimized crystal structure of Ti2TcSe2, with properties calculated at the GGA-PBE level.

Cell: 3.6216 3.6216 13.5542 Å, 90.00 90.00 90.00°
Closest atoms and distances in Å follow each position.
Space group I4/mmm (No. 139)
Asymmetric unit:
Ti 0.0000 0.0000 0.1029 x4  4 Se 2.69, 1 Ti 2.79, 4 Tc 2.92
Tc 0.0000 0.0000 0.5000 x2  8 Ti 2.92
Se 0.0000 0.5000 0.2500 x4  4 Se 2.56, 4 Ti 2.69

Summary:
polymorph energy (0 for the lowest one)	31.2	kJ/mol of atoms

---

11.
Below is an optimized crystal structure of Ti3TcSe, with properties calculated at the GGA-PBE level.

Cell: 4.7175 4.7175 4.7175 Å, 90.00 90.00 90.00°
Closest atoms and distances in Å follow each position.
Space group Pm-3m (No. 221)
Asymmetric unit:
Ti 0.0000 0.0000 0.5000 x3  2 Tc 2.36
Tc 0.0000 0.0000 0.0000 x1  6 Ti 2.36
Se 0.5000 0.5000 0.5000 x1  12 Ti 3.34

Summary:
polymorph energy (0 for the lowest one)	2.3	kJ/mol of atoms

---

12.
Below is an optimized crystal structure of TlTcSe2, with properties calculated at the GGA-PBE level.

Cell: 3.2961 3.2961 9.7352 Å, 90.00 90.00 120.00°
Closest atoms and distances in Å follow each position.
Space group P3m1 (No. 156)
Asymmetric unit:
Tl 0.0000 0.0000 0.0000 x1  6 Tl 3.30, 4 Se 3.36-3.51
Tc 0.6667 0.3333 0.5164 x1  6 Se 2.53-2.59
Se 0.0000 0.0000 0.3455 x1  3 Tc 2.53
Se 0.3333 0.6667 0.6965 x1  3 Tc 2.59

Summary:
polymorph energy (0 for the lowest one)	16.7	kJ/mol of atoms

---

For the records above, the corresponding density of states at the Fermi level values read 5.7; 10.2; 42.3; 9.2; 3.2; 3.1; 17.3; 2.7; 13.6; 6.5; 7.7; 2.4 states/eV per cell.
For the records above, the corresponding energy relative to the elements, uncorrected values read 1.494; -0.222; -0.284; -0.193; 0.380; 0.812; -0.063; 0.314; -0.185; 0.101; 0.403; -0.158 eV/atom.